! YSc2Ir | Alexandria | PBE-GGA | relaxed; values from VASP
&SYSTEM
  ibrav = 0, nat = 4, ntyp = 3
/
ATOMIC_SPECIES
Sc 44.96 Sc.upf
Y 88.91 Y.upf
Ir 192.22 Ir.upf
CELL_PARAMETERS angstrom
4.920 -0.024 0.000
0.066 4.919 0.000
-2.493 -2.448 3.464
ATOMIC_POSITIONS angstrom
Sc 0.033 2.460 1.732
Sc 0.000 0.000 0.000
Y 2.493 2.448 0.000
Ir 2.460 -0.012 1.732
! Mass density (kg/m³): 7349
! Raw total energy (eV for the cell shown): -29.2
! E above lowest polymorph (eV per formula unit): 1.09
! Space-group type: No. 119
! Volume (A^3/atom): 20.96
! ΔE_f (eV per atom): -0.314

=====

! Y4ScIr | Alexandria | PBE-GGA | relaxed; values from VASP
&SYSTEM
  ibrav = 0, nat = 6, ntyp = 3
/
ATOMIC_SPECIES
Y 88.91 Y.upf
Ir 192.22 Ir.upf
Sc 44.96 Sc.upf
CELL_PARAMETERS angstrom
2.274 -2.806 4.912
-1.589 1.864 5.583
-3.610 -3.484 3.464
ATOMIC_POSITIONS angstrom
Y -1.099 -1.664 5.246
Y 0.030 -3.057 7.687
Y -1.889 -0.738 8.020
Y -2.893 -3.394 6.967
Ir -2.194 -3.320 10.470
Sc 0.000 0.000 0.000
! Mass density (kg/m³): 6142
! Raw total energy (eV for the cell shown): -37.5
! Space-group type: No. 216
! Volume (A^3/atom): 26.71
! ΔE_f (eV per atom): 0.583

=====

! YScIr | Alexandria | PBE-GGA | relaxed; values from VASP
&SYSTEM
  ibrav = 0, nat = 3, ntyp = 3
/
ATOMIC_SPECIES
Y 88.91 Y.upf
Ir 192.22 Ir.upf
Sc 44.96 Sc.upf
CELL_PARAMETERS angstrom
-0.966 4.090 -2.045
-3.242 2.822 1.835
1.275 3.999 2.055
ATOMIC_POSITIONS angstrom
Y -1.466 5.455 0.923
Ir -0.733 2.727 0.461
Sc 0.000 0.000 0.000
! Mass density (kg/m³): 7503
! Raw total energy (eV for the cell shown): -23.6
! E above lowest polymorph (eV per formula unit): 0.32
! Space-group type: No. 216
! Volume (A^3/atom): 24.05
! ΔE_f (eV per atom): -0.658

=====

! YSc2Ir | Alexandria | PBE-GGA | relaxed; values from VASP
&SYSTEM
  ibrav = 0, nat = 4, ntyp = 3
/
ATOMIC_SPECIES
Y 88.91 Y.upf
Sc 44.96 Sc.upf
Ir 192.22 Ir.upf
CELL_PARAMETERS angstrom
-0.407 0.923 3.105
0.417 -3.088 0.974
8.338 1.344 0.693
ATOMIC_POSITIONS angstrom
Y 2.089 -0.746 2.213
Sc 4.699 0.758 0.390
Sc 7.807 1.259 0.649
Ir 6.258 -0.074 2.559
! Mass density (kg/m³): 6821
! Raw total energy (eV for the cell shown): -29.9
! E above lowest polymorph (eV per formula unit): 0.45
! Space-group type: No. 123
! Volume (A^3/atom): 22.58
! ΔE_f (eV per atom): -0.476

=====

! YScIr | Alexandria | PBE-GGA | relaxed; values from VASP
&SYSTEM
  ibrav = 0, nat = 3, ntyp = 3
/
ATOMIC_SPECIES
Ir 192.22 Ir.upf
Y 88.91 Y.upf
Sc 44.96 Sc.upf
CELL_PARAMETERS angstrom
4.654 0.000 0.000
-2.327 4.030 0.000
0.000 0.000 3.320
ATOMIC_POSITIONS angstrom
Ir 0.000 0.000 0.106
Y 0.000 2.687 2.311
Sc 2.327 1.343 0.902
! Mass density (kg/m³): 8696
! Raw total energy (eV for the cell shown): -23.0
! E above lowest polymorph (eV per formula unit): 0.95
! Space-group type: No. 156
! Volume (A^3/atom): 20.75
! ΔE_f (eV per atom): -0.445

=====

! YSc2Ir2 | Alexandria | PBE-GGA | relaxed; values from VASP
&SYSTEM
  ibrav = 0, nat = 10, ntyp = 3
/
ATOMIC_SPECIES
Sc 44.96 Sc.upf
Ir 192.22 Ir.upf
Y 88.91 Y.upf
CELL_PARAMETERS angstrom
-2.674 -4.944 5.518
1.973 -6.130 -4.537
2.907 -0.064 1.351
ATOMIC_POSITIONS angstrom
Sc 0.773 -2.672 2.014
Sc 2.341 -4.662 -1.454
Sc 1.433 -8.467 0.319
Sc -0.135 -6.477 3.787
Ir -0.975 -8.191 1.708
Ir 0.743 -6.904 -1.928
Ir -1.444 -4.170 2.910
Ir 0.274 -2.883 -0.727
Y 0.000 0.000 0.000
Y -0.351 -5.537 0.491
! Mass density (kg/m³): 9403
! Raw total energy (eV for the cell shown): -81.0
! E above lowest polymorph (eV per formula unit): 0.27
! Space-group type: No. 127
! Volume (A^3/atom): 19.89
! ΔE_f (eV per atom): -0.734

=====

! YSc2Ir | Alexandria | PBE-GGA | relaxed; values from VASP
&SYSTEM
  ibrav = 0, nat = 4, ntyp = 3
/
ATOMIC_SPECIES
Sc 44.96 Sc.upf
Y 88.91 Y.upf
Ir 192.22 Ir.upf
CELL_PARAMETERS angstrom
6.001 -0.011 -0.008
2.904 5.251 0.008
-3.894 -3.568 2.848
ATOMIC_POSITIONS angstrom
Sc 4.028 2.370 0.000
Sc 0.425 0.250 0.000
Y 3.279 -0.480 1.420
Ir 1.731 2.151 1.428
! Mass density (kg/m³): 6852
! Raw total energy (eV for the cell shown): -30.1
! E above lowest polymorph (eV per formula unit): 0.21
! Space-group type: No. 71
! Volume (A^3/atom): 22.48
! ΔE_f (eV per atom): -0.535

=====

! YSc2Ir | Alexandria | PBE-GGA | relaxed; values from VASP
&SYSTEM
  ibrav = 0, nat = 4, ntyp = 3
/
ATOMIC_SPECIES
Sc 44.96 Sc.upf
Y 88.91 Y.upf
Ir 192.22 Ir.upf
CELL_PARAMETERS angstrom
4.899 0.000 0.000
0.000 4.183 0.000
0.000 0.000 4.183
ATOMIC_POSITIONS angstrom
Sc 0.000 0.000 0.000
Sc 0.000 2.092 2.092
Y 2.449 2.092 0.000
Ir 2.449 0.000 2.092
! Mass density (kg/m³): 7187
! Raw total energy (eV for the cell shown): -29.3
! E above lowest polymorph (eV per formula unit): 1.08
! Space-group type: No. 123
! Volume (A^3/atom): 21.43
! ΔE_f (eV per atom): -0.318

=====

! YSc2Ir | Alexandria | PBE-GGA | relaxed; values from VASP
&SYSTEM
  ibrav = 0, nat = 8, ntyp = 3
/
ATOMIC_SPECIES
Ir 192.22 Ir.upf
Sc 44.96 Sc.upf
Y 88.91 Y.upf
CELL_PARAMETERS angstrom
3.815 0.001 0.000
-1.907 5.771 0.000
0.000 0.000 8.433
ATOMIC_POSITIONS angstrom
Ir 0.000 2.822 2.108
Ir 1.908 2.949 6.325
Sc 0.000 4.085 7.898
Sc 1.908 1.686 0.535
Sc 0.000 4.085 4.751
Sc 1.908 1.686 3.681
Y 1.907 5.047 2.108
Y 0.000 0.725 6.325
! Mass density (kg/m³): 6638
! Raw total energy (eV for the cell shown): -60.5
! E above lowest polymorph (eV per formula unit): 0.07
! Space-group type: No. 63
! Volume (A^3/atom): 23.20
! ΔE_f (eV per atom): -0.571

=====

! Y2ScIr | Alexandria | PBE-GGA | relaxed; values from VASP
&SYSTEM
  ibrav = 0, nat = 8, ntyp = 3
/
ATOMIC_SPECIES
Sc 44.96 Sc.upf
Y 88.91 Y.upf
Ir 192.22 Ir.upf
CELL_PARAMETERS angstrom
4.922 0.000 1.481
2.079 5.526 2.011
0.132 0.847 8.481
ATOMIC_POSITIONS angstrom
Sc 3.084 2.017 7.606
Sc 4.048 4.356 4.368
Y 5.726 4.694 7.727
Y 2.511 4.866 9.493
Y 4.622 1.507 2.481
Y 1.406 1.679 4.247
Ir 0.623 2.017 6.865
Ir 6.510 4.356 5.109
! Mass density (kg/m³): 6157
! Raw total energy (eV for the cell shown): -59.6
! E above lowest polymorph (eV per formula unit): 0.28
! Space-group type: No. 15
! Volume (A^3/atom): 27.98
! ΔE_f (eV per atom): -0.426

=====

! Y4ScIr5 | Alexandria | PBE-GGA | relaxed; values from VASP
&SYSTEM
  ibrav = 0, nat = 10, ntyp = 3
/
ATOMIC_SPECIES
Y 88.91 Y.upf
Sc 44.96 Sc.upf
Ir 192.22 Ir.upf
CELL_PARAMETERS angstrom
3.312 0.000 0.000
0.000 3.312 0.000
0.000 0.000 17.781
ATOMIC_POSITIONS angstrom
Y 0.000 0.000 14.341
Y 0.000 0.000 10.709
Y 0.000 0.000 7.072
Y 0.000 0.000 3.440
Sc 0.000 0.000 0.000
Ir 1.656 1.656 12.535
Ir 1.656 1.656 5.246
Ir 1.656 1.656 16.204
Ir 1.656 1.656 8.890
Ir 1.656 1.656 1.577
! Mass density (kg/m³): 11591
! Raw total energy (eV for the cell shown): -84.6
! Space-group type: No. 123
! Volume (A^3/atom): 19.51
! ΔE_f (eV per atom): -0.808

=====

! YScIr3 | Alexandria | PBE-GGA | relaxed; values from VASP
&SYSTEM
  ibrav = 0, nat = 5, ntyp = 3
/
ATOMIC_SPECIES
Ir 192.22 Ir.upf
Sc 44.96 Sc.upf
Y 88.91 Y.upf
CELL_PARAMETERS angstrom
-4.591 0.314 -1.056
-1.101 -1.161 4.442
0.035 4.566 1.203
ATOMIC_POSITIONS angstrom
Ir 0.018 2.283 0.601
Ir -2.296 0.157 -0.528
Ir -0.551 -0.581 2.221
Sc 0.000 0.000 0.000
Y -2.828 1.859 2.294
! Mass density (kg/m³): 11209
! Raw total energy (eV for the cell shown): -37.2
! E above lowest polymorph (eV per formula unit): 0.00
! Space-group type: No. 221
! Volume (A^3/atom): 21.05
! ΔE_f (eV per atom): 0.426

=====

! YSc2Ir | Alexandria | PBE-GGA | relaxed; values from VASP
&SYSTEM
  ibrav = 0, nat = 4, ntyp = 3
/
ATOMIC_SPECIES
Y 88.91 Y.upf
Sc 44.96 Sc.upf
Ir 192.22 Ir.upf
CELL_PARAMETERS angstrom
2.004 0.000 10.093
-1.002 1.736 10.093
-1.002 -1.736 10.093
ATOMIC_POSITIONS angstrom
Y 0.000 0.000 0.000
Sc 0.000 0.000 26.912
Sc 0.000 0.000 3.367
Ir 0.000 0.000 15.139
! Mass density (kg/m³): 5849
! Raw total energy (eV for the cell shown): -28.4
! E above lowest polymorph (eV per formula unit): 1.93
! Space-group type: No. 166
! Volume (A^3/atom): 26.34
! ΔE_f (eV per atom): -0.104

=====

! Y2ScIr | Alexandria | PBE-GGA | relaxed; values from VASP
&SYSTEM
  ibrav = 0, nat = 4, ntyp = 3
/
ATOMIC_SPECIES
Sc 44.96 Sc.upf
Y 88.91 Y.upf
Ir 192.22 Ir.upf
CELL_PARAMETERS angstrom
3.382 0.000 0.000
0.000 3.377 0.000
0.000 0.000 8.660
ATOMIC_POSITIONS angstrom
Sc 1.691 1.689 5.931
Y 1.691 1.689 2.715
Y 0.000 0.000 8.503
Ir 0.000 0.000 4.501
! Mass density (kg/m³): 6967
! Raw total energy (eV for the cell shown): -29.8
! E above lowest polymorph (eV per formula unit): 0.30
! Space-group type: No. 99
! Volume (A^3/atom): 24.73
! ΔE_f (eV per atom): -0.419

=====

! YSc2Ir2 | Alexandria | PBE-GGA | relaxed; values from VASP
&SYSTEM
  ibrav = 0, nat = 5, ntyp = 3
/
ATOMIC_SPECIES
Ir 192.22 Ir.upf
Sc 44.96 Sc.upf
Y 88.91 Y.upf
CELL_PARAMETERS angstrom
4.667 0.013 -0.008
2.323 4.048 -0.008
0.010 0.006 5.624
ATOMIC_POSITIONS angstrom
Ir 4.665 1.361 0.988
Ir 2.336 2.707 4.620
Sc 2.330 2.703 1.930
Sc 4.671 1.365 3.679
Y 2.334 0.007 -0.004
! Mass density (kg/m³): 8816
! Raw total energy (eV for the cell shown): -40.8
! E above lowest polymorph (eV per formula unit): 0.02
! Space-group type: No. 164
! Volume (A^3/atom): 21.22
! ΔE_f (eV per atom): -0.782

=====

! Y3Sc7Ir4 | Alexandria | PBE-GGA | relaxed; values from VASP
&SYSTEM
  ibrav = 0, nat = 14, ntyp = 3
/
ATOMIC_SPECIES
Sc 44.96 Sc.upf
Ir 192.22 Ir.upf
Y 88.91 Y.upf
CELL_PARAMETERS angstrom
4.310 0.000 1.087
1.655 7.933 2.524
0.018 -0.330 9.016
ATOMIC_POSITIONS angstrom
Sc 2.754 6.613 7.256
Sc 2.511 1.598 8.218
Sc 3.472 6.005 4.410
Sc 4.298 2.985 10.223
Sc 3.229 0.989 5.371
Sc 1.685 4.617 2.405
Sc 0.000 0.000 0.000
Ir 2.354 4.324 8.843
Ir 0.675 0.843 6.411
Ir 5.308 6.759 6.217
Ir 3.630 3.279 3.785
Y 0.837 3.801 5.770
Y 4.353 6.185 10.004
Y 1.630 1.418 2.624
! Mass density (kg/m³): 7207
! Raw total energy (eV for the cell shown): -107.7
! Space-group type: No. 12
! Volume (A^3/atom): 22.22
! ΔE_f (eV per atom): -0.611

=====

! Y2ScIr2 | Alexandria | PBE-GGA | relaxed; values from VASP
&SYSTEM
  ibrav = 0, nat = 10, ntyp = 3
/
ATOMIC_SPECIES
Ir 192.22 Ir.upf
Sc 44.96 Sc.upf
Y 88.91 Y.upf
CELL_PARAMETERS angstrom
-3.062 1.516 -2.466
-3.544 -4.565 -2.006
-7.194 1.044 5.973
ATOMIC_POSITIONS angstrom
Ir -9.976 1.635 2.591
Ir -4.522 -0.772 1.540
Ir -3.824 -3.641 -1.090
Ir -9.278 -1.233 -0.039
Sc -8.538 -3.373 1.327
Sc -5.262 1.368 0.174
Y -6.103 -1.820 -0.741
Y -2.614 -0.634 -0.745
Y -7.696 -0.186 2.242
Y -11.186 -1.371 2.246
! Mass density (kg/m³): 9118
! Raw total energy (eV for the cell shown): -81.9
! E above lowest polymorph (eV per formula unit): 0.00
! Space-group type: No. 12
! Volume (A^3/atom): 22.12
! ΔE_f (eV per atom): -0.793

=====

! YSc2Ir | Alexandria | PBE-GGA | relaxed; values from VASP
&SYSTEM
  ibrav = 0, nat = 8, ntyp = 3
/
ATOMIC_SPECIES
Ir 192.22 Ir.upf
Y 88.91 Y.upf
Sc 44.96 Sc.upf
CELL_PARAMETERS angstrom
-6.453 4.872 1.275
-4.235 -6.371 2.912
-4.360 -0.159 4.817
ATOMIC_POSITIONS angstrom
Ir -8.078 1.982 4.092
Ir 0.000 0.000 0.000
Y -5.344 -0.749 2.093
Y -6.970 -3.639 4.911
Sc -6.947 -0.183 4.955
Sc -12.953 -1.928 7.503
Sc -6.157 2.590 2.464
Sc -4.039 -3.793 3.084
! Mass density (kg/m³): 6223
! Raw total energy (eV for the cell shown): -58.4
! E above lowest polymorph (eV per formula unit): 1.11
! Space-group type: No. 122
! Volume (A^3/atom): 24.75
! ΔE_f (eV per atom): -0.309

=====

! Y2ScIr2 | Alexandria | PBE-GGA | relaxed; values from VASP
&SYSTEM
  ibrav = 0, nat = 10, ntyp = 3
/
ATOMIC_SPECIES
Ir 192.22 Ir.upf
Sc 44.96 Sc.upf
Y 88.91 Y.upf
CELL_PARAMETERS angstrom
-0.373 6.578 -2.987
-6.256 1.202 3.428
2.092 1.598 3.258
ATOMIC_POSITIONS angstrom
Ir -1.075 4.332 -1.434
Ir -2.339 1.322 0.854
Ir -5.553 3.448 1.875
Ir -4.289 6.459 -0.413
Sc 0.000 0.000 0.000
Sc -3.314 3.890 0.220
Y -3.219 2.735 3.418
Y -1.317 6.644 0.280
Y -4.387 6.212 2.463
Y -0.149 3.166 1.236
! Mass density (kg/m³): 9200
! Raw total energy (eV for the cell shown): -81.6
! E above lowest polymorph (eV per formula unit): 0.16
! Space-group type: No. 127
! Volume (A^3/atom): 21.92
! ΔE_f (eV per atom): -0.761

=====

! YScIr | Alexandria | PBE-GGA | relaxed; values from VASP
&SYSTEM
  ibrav = 0, nat = 3, ntyp = 3
/
ATOMIC_SPECIES
Ir 192.22 Ir.upf
Y 88.91 Y.upf
Sc 44.96 Sc.upf
CELL_PARAMETERS angstrom
6.717 0.046 -0.049
5.897 3.216 -0.058
0.820 0.221 3.162
ATOMIC_POSITIONS angstrom
Ir 12.503 3.233 -0.076
Y 8.356 2.164 1.074
Sc 5.189 1.347 1.951
! Mass density (kg/m³): 8009
! Raw total energy (eV for the cell shown): -23.4
! E above lowest polymorph (eV per formula unit): 0.51
! Space-group type: No. 107
! Volume (A^3/atom): 22.53
! ΔE_f (eV per atom): -0.593